Arrangement i

First-principles (PBE) data for a relaxed structure of CaAl2Tc, as listed in Alexandria.

Output
density: 4.3 g cm⁻³

Unit cell a=4.2187 b=4.2187 c=4.1270 alpha=90.00 beta=90.00 gamma=90.00
Sites, in units of the cell vectors:
Ca: 0.0000 0.0000 0.0000
Al: 0.0000 0.5000 0.5000
Al: 0.5000 0.0000 0.5000
Tc: 0.5000 0.5000 0.0000

Arrangement ii

First-principles (PBE) data for a relaxed structure of CaAl2Tc, as listed in Alexandria.

Output
density: 4.5 g cm⁻³

Unit cell a=4.8759 b=4.8759 c=4.8759 alpha=127.63 beta=127.63 gamma=77.22
Sites, in units of the cell vectors:
Ca: 0.0000 0.0000 0.0000
Al: 0.2500 0.7500 0.5000
Al: 0.7500 0.2500 0.5000
Tc: 0.5000 0.5000 0.0000

Arrangement iii

First-principles (PBE) data for a relaxed structure of CaAl2Tc, as listed in Alexandria.

Output
density: 4.1 g cm⁻³

Unit cell a=9.1008 b=9.1008 c=9.1008 alpha=20.17 beta=20.17 gamma=20.17
Sites, in units of the cell vectors:
Ca: 0.0000 0.0000 0.0000
Al: 0.2348 0.2348 0.2348
Al: 0.7652 0.7652 0.7652
Tc: 0.5000 0.5000 0.5000

Arrangement iv

First-principles (PBE) data for a relaxed structure of CaAl2Tc, as listed in Alexandria.

Output
density: 4.3 g cm⁻³

Unit cell a=5.4866 b=5.4866 c=5.4866 alpha=143.87 beta=129.86 gamma=63.34
Sites, in units of the cell vectors:
Ca: 0.0000 0.0000 0.0000
Al: 0.2772 0.7772 0.5000
Al: 0.5305 0.5305 0.0000
Tc: 0.7389 0.2389 0.5000

Relative energies, in meV per atom, with the most stable structure set to zero: arrangement i 194; arrangement ii 0; arrangement iii 95; arrangement iv 126.

Arrangement i

First-principles (PBE) data for a relaxed structure of CaAl2Tc, as listed in Alexandria.

Output
density: 4.3 g cm⁻³

Unit cell a=5.2830 b=5.2830 c=5.2830 alpha=134.51 beta=134.51 gamma=66.30
Sites, in units of the cell vectors:
Ca: 0.0000 0.0000 0.0000
Al: 0.5000 0.5000 0.0000
Al: 0.7500 0.2500 0.5000
Tc: 0.2500 0.7500 0.5000

Arrangement ii

First-principles (PBE) data for a relaxed structure of CaAl2Tc, as listed in Alexandria.

Output
density: 4.3 g cm⁻³

Unit cell a=3.2790 b=3.2790 c=6.9518 alpha=90.00 beta=90.00 gamma=90.00
Sites, in units of the cell vectors:
Ca: 0.0000 0.0000 0.0000
Al: 0.5000 0.5000 0.3156
Al: 0.5000 0.5000 0.6844
Tc: 0.0000 0.0000 0.5000

Relative energies, in meV per atom, with the most stable structure set to zero: arrangement i 430; arrangement ii 0.

Arrangement i

First-principles (PBE) data for a relaxed structure of CaAl2Tc, as listed in Alexandria.

Output
density: 3.1 g cm⁻³

Unit cell a=9.2504 b=9.2504 c=9.2504 alpha=149.48 beta=149.48 gamma=43.70
Sites, in units of the cell vectors:
Ca: 0.0000 0.0000 0.0000
Ca: 0.7500 0.2500 0.5000
Al: 0.3092 0.6250 0.1842
Al: 0.3750 0.5592 0.6842
Al: 0.4408 0.1250 0.8158
Al: 0.8750 0.6908 0.3158
Tc: 0.2500 0.7500 0.5000
Tc: 0.5000 0.5000 0.0000

Arrangement ii

First-principles (PBE) data for a relaxed structure of CaAl2Tc, as listed in Alexandria.

Output
density: 4.0 g cm⁻³

Unit cell a=3.3673 b=3.3673 c=7.0052 alpha=90.00 beta=90.00 gamma=90.00
Sites, in units of the cell vectors:
Ca: 0.0000 0.0000 0.0000
Al: 0.0000 0.0000 0.4351
Al: 0.5000 0.5000 0.6624
Tc: 0.5000 0.5000 0.3005

Arrangement iii

First-principles (PBE) data for a relaxed structure of CaAl2Tc, as listed in Alexandria.

Output
density: 4.5 g cm⁻³

Unit cell a=4.6361 b=4.6361 c=4.6361 alpha=60.00 beta=60.00 gamma=60.00
Sites, in units of the cell vectors:
Ca: 0.0000 0.0000 0.0000
Al: 0.2500 0.2500 0.2500
Al: 0.7500 0.7500 0.7500
Tc: 0.5000 0.5000 0.5000

Relative energies, in meV per atom, with the most stable structure set to zero: arrangement i 403; arrangement ii 0; arrangement iii 30.

Arrangement i

First-principles (PBE) data for a relaxed structure of CaAlTc, as listed in Alexandria.

Output
density: 3.6 g cm⁻³

Unit cell a=4.7487 b=4.7487 c=4.7487 alpha=60.00 beta=60.00 gamma=60.00
Sites, in units of the cell vectors:
Ca: 0.0000 0.0000 0.0000
Al: 0.7500 0.7500 0.7500
Tc: 0.2500 0.2500 0.2500

Arrangement ii

First-principles (PBE) data for a relaxed structure of CaAlTc, as listed in Alexandria.

Output
density: 4.4 g cm⁻³

Unit cell a=5.7672 b=5.7672 c=5.7672 alpha=145.29 beta=145.29 gamma=49.90
Sites, in units of the cell vectors:
Ca: 0.0000 0.0000 0.0000
Al: 0.7249 0.7249 0.0000
Tc: 0.2894 0.2894 0.0000

Relative energies, in meV per atom, with the most stable structure set to zero: arrangement i 1341; arrangement ii 0.

Arrangement i

First-principles (PBE) data for a relaxed structure of CaAlTc, as listed in Alexandria.

Output
density: 4.6 g cm⁻³

Unit cell a=3.1690 b=3.1690 c=6.8580 alpha=90.00 beta=90.00 gamma=120.00
Sites, in units of the cell vectors:
Ca: 0.0000 0.0000 0.0000
Al: 0.3333 0.6667 0.6024
Tc: 0.6667 0.3333 0.3406

Arrangement ii

First-principles (PBE) data for a relaxed structure of CaAlTc, as listed in Alexandria.

Output
density: 4.8 g cm⁻³

Unit cell a=4.7355 b=4.7355 c=2.9235 alpha=90.00 beta=90.00 gamma=120.00
Sites, in units of the cell vectors:
Ca: 0.0000 0.0000 0.0000
Al: 0.3333 0.6667 0.5442
Tc: 0.6667 0.3333 0.4061

Relative energies, in meV per atom, with the most stable structure set to zero: arrangement i 85; arrangement ii 0.

Arrangement i

First-principles (PBE) data for a relaxed structure of CaAlTe3, as listed in Alexandria.

Output
density: 4.7 g cm⁻³

Unit cell a=5.4066 b=5.4066 c=5.4066 alpha=90.00 beta=90.00 gamma=90.00
Sites, in units of the cell vectors:
Ca: 0.0000 0.0000 0.0000
Al: 0.5000 0.5000 0.5000
Te: 0.0000 0.5000 0.5000
Te: 0.5000 0.0000 0.5000
Te: 0.5000 0.5000 0.0000

Arrangement ii

First-principles (PBE) data for a relaxed structure of CaAlTe3, as listed in Alexandria.

Output
density: 3.7 g cm⁻³

Unit cell a=5.8700 b=5.8700 c=5.8700 alpha=90.00 beta=90.00 gamma=90.00
Sites, in units of the cell vectors:
Ca: 0.0000 0.0000 0.0000
Al: 0.5000 0.5000 0.5000
Te: 0.0000 0.0000 0.5000
Te: 0.0000 0.5000 0.0000
Te: 0.5000 0.0000 0.0000

Relative energies, in meV per atom, with the most stable structure set to zero: arrangement i 0; arrangement ii 578.